Entry 1:
Below is a relaxed RbAlGe crystal, with properties calculated at the GGA-PBE level.

POSCAR file:
```
RbAlGe
1.0
-2.274 -7.778 1.923
2.361 0.184 3.538
-9.782 4.417 6.298
Ge Rb Al
4 4 4
direct
0.208 0.250 0.068
0.292 0.750 0.568
0.708 0.250 0.432
0.792 0.750 0.932
0.377 0.750 0.851
0.877 0.750 0.649
0.623 0.250 0.149
0.123 0.250 0.351
0.952 0.250 0.941
0.452 0.250 0.559
0.548 0.750 0.441
0.048 0.750 0.059
```

Properties
Calculated total energy = -3.10 eV/atom
Total magnetization = 0.00 μB per formula unit
Symmetry = Pnma, No. 62
Calculated density = 2786 kg/m3

---

Entry 2:
Below is a relaxed CrMoCl2 crystal, with properties calculated at the GGA-PBE level.

POSCAR file:
```
CrMoCl2
1.0
-0.803 -2.591 -1.073
2.768 -1.321 1.117
-3.976 -1.834 7.404
Cr Mo Cl
1 1 2
direct
0.000 0.372 0.538
0.500 0.877 0.702
0.000 0.884 0.925
0.500 0.366 0.335
```

Properties
Calculated total energy = -6.26 eV/atom
Total magnetization = 0.26 μB per formula unit
Symmetry = Pm, No. 6
Formation energy from raw total energies = -22 kJ/mol of atoms
Calculated density = 4437 kg/m3
Energy above the lowest structure with this stoichiometry = 0 meV/atom

---

Entry 3:
Below is a relaxed Sc2TaNb crystal, with properties calculated at the GGA-PBE level.

POSCAR file:
```
Sc2TaNb
1.0
-4.844 3.813 -4.512
-1.026 -6.289 -4.214
-5.127 -2.016 -2.667
Nb Sc Ta
2 4 2
direct
0.500 0.500 0.000
0.250 0.750 0.500
0.875 0.871 0.750
0.375 0.379 0.750
0.621 0.125 0.250
0.129 0.625 0.250
0.750 0.250 0.500
0.000 0.000 0.000
```

Properties
Calculated total energy = -7.93 eV/atom
Total magnetization = 0.00 μB per formula unit
Symmetry = I-42d, No. 122
Calculated density = 7191 kg/m3
Energy above the lowest structure with this stoichiometry = 324 meV/atom

---

Entry 4:
Below is a relaxed NdZnCuRh crystal, with properties calculated at the GGA-PBE level.

POSCAR file:
```
NdZnCuRh
1.0
4.321 0.000 0.000
-2.161 3.731 -0.007
0.000 -2.490 4.803
Zn Nd Cu Rh
1 1 1 1
direct
0.115 0.230 0.987
0.619 0.238 0.500
0.821 0.642 0.104
0.412 0.823 0.876
```

Properties
Calculated total energy = -4.80 eV/atom
Total magnetization = 0.00 μB per formula unit
Symmetry = Cm, No. 8
Calculated density = 8071 kg/m3
Energy above the lowest structure with this stoichiometry = 0 meV/atom

---

Entry 5:
Below is a relaxed Mg5RhPb crystal, with properties calculated at the GGA-PBE level.

POSCAR file:
```
Mg5RhPb
1.0
4.496 -0.749 -0.393
0.716 4.501 -0.393
1.431 1.030 14.395
Mg Pb Rh
10 2 2
direct
0.002 0.499 0.902
0.501 0.998 0.598
0.499 0.002 0.098
0.499 0.002 0.402
0.998 0.501 0.402
0.999 0.001 0.250
0.998 0.501 0.098
0.001 0.999 0.750
0.501 0.998 0.902
0.002 0.499 0.598
0.501 0.499 0.750
0.499 0.501 0.250
0.000 0.000 0.500
0.000 0.000 0.000
```

Properties
Calculated total energy = -2.95 eV/atom
Total magnetization = 0.00 μB per formula unit
Symmetry = Cmcm, No. 63
Calculated density = 4723 kg/m3
Energy above the lowest structure with this stoichiometry = 0 meV/atom

---

Entry 6:
Below is a relaxed Si2MoPt2 crystal, with properties calculated at the GGA-PBE level.

POSCAR file:
```
Si2MoPt2
1.0
7.037 0.000 0.000
0.000 7.037 0.000
0.000 0.000 2.938
Mo Si Pt
2 4 4
direct
0.500 0.500 0.000
0.000 0.000 0.000
0.152 0.348 0.000
0.848 0.652 0.000
0.348 0.848 0.000
0.652 0.152 0.000
0.354 0.146 0.500
0.146 0.646 0.500
0.646 0.854 0.500
0.854 0.354 0.500
```

Properties
Calculated total energy = -7.11 eV/atom
Total magnetization = 0.00 μB per formula unit
Symmetry = P4/mbm, No. 127
Formation energy from raw total energies = -35 kJ/mol of atoms
Calculated density = 12381 kg/m3